[1]
# meta-GGA SCAN ZrCrIr, PBEsol geometry
# * energy above the lowest structure with this stoichiometry: 0.0 meV/atom
# * D(E_F): 19.06 states/eV/cell
data_ZrCrIr
_space_group_name_H-M_alt 'F -4 3 m'
_space_group_IT_number 216
_space_group_name_Hall 'F -4 2 3'
_cell_length_a 6.122
_cell_length_b 6.122
_cell_length_c 6.122
_cell_angle_alpha 90.00
_cell_angle_beta 90.00
_cell_angle_gamma 90.00
loop_
_atom_site_label
_atom_site_type_symbol
_atom_site_fract_x
_atom_site_fract_y
_atom_site_fract_z
Zr1 Zr 0.000 0.000 0.000
Cr1 Cr 0.000 0.000 0.500
Ir1 Ir 0.250 0.250 0.250

***

[2]
# meta-GGA SCAN KCr, PBEsol geometry
# * energy above the lowest structure with this stoichiometry: 0.0 meV/atom
# * D(E_F): 3.68 states/eV/cell
data_KCr
_space_group_name_H-M_alt 'C 1 2/m 1'
_space_group_IT_number 12
_cell_length_a 13.302
_cell_length_b 3.248
_cell_length_c 6.495
_cell_angle_alpha 90.00
_cell_angle_beta 106.38
_cell_angle_gamma 90.00
loop_
_space_group_symop_operation_xyz
'x,y,z'
'-x,-y,-z'
'-x,y,-z'
'x,-y,z'
'x+1/2,y+1/2,z'
'-x+1/2,-y+1/2,-z'
'-x+1/2,y+1/2,-z'
'x+1/2,-y+1/2,z'
loop_
_atom_site_label
_atom_site_type_symbol
_atom_site_fract_x
_atom_site_fract_y
_atom_site_fract_z
K1 K 0.097 0.000 0.311
Cr1 Cr 0.169 0.500 0.854

***

[3]
# meta-GGA SCAN K2Cr, PBEsol geometry
# * energy above the lowest structure with this stoichiometry: 0.0 meV/atom
# * D(E_F): 5.86 states/eV/cell
data_K2Cr
_space_group_name_H-M_alt 'C 1 2/m 1'
_space_group_IT_number 12
_cell_length_a 17.452
_cell_length_b 4.036
_cell_length_c 8.164
_cell_angle_alpha 90.00
_cell_angle_beta 105.33
_cell_angle_gamma 90.00
loop_
_space_group_symop_operation_xyz
'x,y,z'
'-x,-y,-z'
'-x,y,-z'
'x,-y,z'
'x+1/2,y+1/2,z'
'-x+1/2,-y+1/2,-z'
'-x+1/2,y+1/2,-z'
'x+1/2,-y+1/2,z'
loop_
_atom_site_label
_atom_site_type_symbol
_atom_site_fract_x
_atom_site_fract_y
_atom_site_fract_z
K1 K 0.114 0.000 0.063
K2 K 0.154 0.000 0.595
Cr1 Cr 0.003 0.500 0.320

***

[4]
# meta-GGA SCAN KCr, PBEsol geometry
# * energy above the lowest structure with this stoichiometry: 121.1 meV/atom
# * D(E_F): 0.78 states/eV/cell
data_KCr
_space_group_name_H-M_alt 'P 4/m m m'
_space_group_IT_number 123
_space_group_name_Hall '-P 4 2'
_cell_length_a 3.409
_cell_length_b 3.409
_cell_length_c 5.509
_cell_angle_alpha 90.00
_cell_angle_beta 90.00
_cell_angle_gamma 90.00
loop_
_atom_site_label
_atom_site_type_symbol
_atom_site_fract_x
_atom_site_fract_y
_atom_site_fract_z
K1 K 0.000 0.000 0.000
Cr1 Cr 0.500 0.500 0.500

***

[5]
# meta-GGA SCAN KCr, PBEsol geometry
# * energy above the lowest structure with this stoichiometry: 171.4 meV/atom
# * D(E_F): 2.23 states/eV/cell
data_KCr
_space_group_name_H-M_alt 'P -3 m 1'
_space_group_IT_number 164
_space_group_name_Hall '-P 3 2"'
_cell_length_a 3.5226
_cell_length_b 3.5226
_cell_length_c 12.0527
_cell_angle_alpha 90.00
_cell_angle_beta 90.00
_cell_angle_gamma 120.00
loop_
_atom_site_label
_atom_site_type_symbol
_atom_site_fract_x
_atom_site_fract_y
_atom_site_fract_z
K1 K 0.3333 0.6667 0.1712
Cr1 Cr 0.3333 0.6667 0.5879

***

[6]
# meta-GGA SCAN K2Cr, PBEsol geometry
# * energy above the lowest structure with this stoichiometry: 128.7 meV/atom
# * D(E_F): 1.64 states/eV/cell
data_K2Cr
_space_group_name_H-M_alt 'P -3 m 1'
_space_group_IT_number 164
_space_group_name_Hall '-P 3 2"'
_cell_length_a 4.1232
_cell_length_b 4.1232
_cell_length_c 9.3344
_cell_angle_alpha 90.00
_cell_angle_beta 90.00
_cell_angle_gamma 120.00
loop_
_atom_site_label
_atom_site_type_symbol
_atom_site_fract_x
_atom_site_fract_y
_atom_site_fract_z
K1 K 0.3333 0.6667 0.2835
Cr1 Cr 0.0000 0.0000 0.0000

***

[7]
# meta-GGA SCAN K2Cr, PBEsol geometry
# * energy above the lowest structure with this stoichiometry: 75.5 meV/atom
# * D(E_F): 2.89 states/eV/cell
data_K2Cr
_space_group_name_H-M_alt 'P n n m'
_space_group_IT_number 58
_cell_length_a 8.824
_cell_length_b 8.984
_cell_length_c 3.530
_cell_angle_alpha 90.00
_cell_angle_beta 90.00
_cell_angle_gamma 90.00
loop_
_space_group_symop_operation_xyz
'x,y,z'
'-x,-y,-z'
'-x,-y,z'
'x,y,-z'
'x+1/2,-y+1/2,-z+1/2'
'-x+1/2,y+1/2,z+1/2'
'-x+1/2,y+1/2,-z+1/2'
'x+1/2,-y+1/2,z+1/2'
loop_
_atom_site_label
_atom_site_type_symbol
_atom_site_fract_x
_atom_site_fract_y
_atom_site_fract_z
K1 K 0.191 0.172 0.000
Cr1 Cr 0.000 0.500 0.000

***

[8]
# meta-GGA SCAN KLa3Cr, PBEsol geometry
# * electronic total energy: -30.7465 eV/atom
# * D(E_F): 5.59 states/eV/cell
data_KLa3Cr
_space_group_name_H-M_alt 'P m -3 m'
_space_group_IT_number 221
_space_group_name_Hall '-P 4 2 3'
_cell_length_a 5.475
_cell_length_b 5.475
_cell_length_c 5.475
_cell_angle_alpha 90.00
_cell_angle_beta 90.00
_cell_angle_gamma 90.00
loop_
_atom_site_label
_atom_site_type_symbol
_atom_site_fract_x
_atom_site_fract_y
_atom_site_fract_z
K1 K 0.000 0.000 0.000
La1 La 0.000 0.500 0.500
Cr1 Cr 0.500 0.500 0.500

***

[9]
# meta-GGA SCAN KLa2Cr, PBEsol geometry
# * electronic total energy: -27.6645 eV/atom
# * D(E_F): 8.03 states/eV/cell
data_KLa2Cr
_space_group_name_H-M_alt 'C 1 2/m 1'
_space_group_IT_number 12
_cell_length_a 6.973
_cell_length_b 11.951
_cell_length_c 3.393
_cell_angle_alpha 90.00
_cell_angle_beta 114.66
_cell_angle_gamma 90.00
loop_
_space_group_symop_operation_xyz
'x,y,z'
'-x,-y,-z'
'-x,y,-z'
'x,-y,z'
'x+1/2,y+1/2,z'
'-x+1/2,-y+1/2,-z'
'-x+1/2,y+1/2,-z'
'x+1/2,-y+1/2,z'
loop_
_atom_site_label
_atom_site_type_symbol
_atom_site_fract_x
_atom_site_fract_y
_atom_site_fract_z
K1 K 0.000 0.000 0.000
La1 La 0.250 0.250 0.500
Cr1 Cr 0.000 0.500 0.000

***

[10]
# meta-GGA SCAN KLaCr2O8, PBEsol geometry
# * formation energy without anion corrections: -2.486 eV/atom
# * D(E_F): 0.00 states/eV/cell
data_KLaCr2O8
_space_group_name_H-M_alt 'P 1 21/c 1'
_space_group_IT_number 14
_cell_length_a 8.703
_cell_length_b 7.452
_cell_length_c 10.950
_cell_angle_alpha 90.00
_cell_angle_beta 92.72
_cell_angle_gamma 90.00
loop_
_space_group_symop_operation_xyz
'x,y,z'
'-x,-y,-z'
'-x,y+1/2,-z+1/2'
'x,-y+1/2,z+1/2'
loop_
_atom_site_label
_atom_site_type_symbol
_atom_site_fract_x
_atom_site_fract_y
_atom_site_fract_z
K1 K 0.068 0.153 0.338
La1 La 0.441 0.663 0.656
Cr1 Cr 0.218 0.666 0.412
Cr2 Cr 0.307 0.163 0.606
O1 O 0.084 0.527 0.370
O2 O 0.124 0.133 0.605
O3 O 0.192 0.745 0.047
O4 O 0.239 0.677 0.806
O5 O 0.356 0.160 0.192
O6 O 0.361 0.188 0.466
O7 O 0.384 0.561 0.439
O8 O 0.405 0.504 0.177

***

[11]
# meta-GGA SCAN KLiCr, PBEsol geometry
# * electronic total energy: -9.1615 eV/atom
# * D(E_F): 3.00 states/eV/cell
data_KLiCr
_space_group_name_H-M_alt 'I 4 m m'
_space_group_IT_number 107
_space_group_name_Hall 'I 4 -2'
_cell_length_a 3.681
_cell_length_b 3.681
_cell_length_c 13.055
_cell_angle_alpha 90.00
_cell_angle_beta 90.00
_cell_angle_gamma 90.00
loop_
_atom_site_label
_atom_site_type_symbol
_atom_site_fract_x
_atom_site_fract_y
_atom_site_fract_z
K1 K 0.000 0.000 0.000
Li1 Li 0.000 0.000 0.286
Cr1 Cr 0.000 0.000 0.701

***

[12]
# meta-GGA SCAN KLi2Cr, PBEsol geometry
# * energy above the lowest structure with this stoichiometry: 0.0 meV/atom
# * D(E_F): 3.52 states/eV/cell
data_KLi2Cr
_space_group_name_H-M_alt 'C 1 2/m 1'
_space_group_IT_number 12
_cell_length_a 9.785
_cell_length_b 3.184
_cell_length_c 6.998
_cell_angle_alpha 90.00
_cell_angle_beta 95.42
_cell_angle_gamma 90.00
loop_
_space_group_symop_operation_xyz
'x,y,z'
'-x,-y,-z'
'-x,y,-z'
'x,-y,z'
'x+1/2,y+1/2,z'
'-x+1/2,-y+1/2,-z'
'-x+1/2,y+1/2,-z'
'x+1/2,-y+1/2,z'
loop_
_atom_site_label
_atom_site_type_symbol
_atom_site_fract_x
_atom_site_fract_y
_atom_site_fract_z
K1 K 0.000 0.000 0.000
Li1 Li 0.235 0.000 0.664
Cr1 Cr 0.000 0.500 0.500

***

[13]
# meta-GGA SCAN KLi2Cr, PBEsol geometry
# * energy above the lowest structure with this stoichiometry: 123.5 meV/atom
# * D(E_F): 6.85 states/eV/cell
data_KLi2Cr
_space_group_name_H-M_alt 'F -4 3 m'
_space_group_IT_number 216
_space_group_name_Hall 'F -4 2 3'
_cell_length_a 7.654
_cell_length_b 7.654
_cell_length_c 7.654
_cell_angle_alpha 90.00
_cell_angle_beta 90.00
_cell_angle_gamma 90.00
loop_
_atom_site_label
_atom_site_type_symbol
_atom_site_fract_x
_atom_site_fract_y
_atom_site_fract_z
K1 K 0.000 0.000 0.000
Li1 Li 0.000 0.000 0.500
Li2 Li 0.250 0.250 0.750
Cr1 Cr 0.250 0.250 0.250

***

[14]
# meta-GGA SCAN KLi2Cr, PBEsol geometry
# * energy above the lowest structure with this stoichiometry: 19.6 meV/atom
# * D(E_F): 1.81 states/eV/cell
data_KLi2Cr
_space_group_name_H-M_alt 'P 4 m m'
_space_group_IT_number 99
_cell_length_a 3.542
_cell_length_b 3.542
_cell_length_c 8.664
_cell_angle_alpha 90.00
_cell_angle_beta 90.00
_cell_angle_gamma 90.00
loop_
_space_group_symop_operation_xyz
'x,y,z'
'-y,x,z'
'-x,-y,z'
'y,-x,z'
'-x,y,z'
'y,x,z'
'x,-y,z'
'-y,-x,z'
loop_
_atom_site_label
_atom_site_type_symbol
_atom_site_fract_x
_atom_site_fract_y
_atom_site_fract_z
K1 K 0.000 0.000 0.000
Li1 Li 0.000 0.000 0.535
Li2 Li 0.500 0.500 0.351
Cr1 Cr 0.500 0.500 0.691